[1]
Entry from the Alexandria database: a relaxed YAl2F crystal (PBE-GGA).

The structure in POSCAR format:
```
YAl2F
1.0
-4.633 -0.716 -1.361
-3.524 2.917 1.706
-2.188 3.186 -2.982
Y F Al
1 1 2
direct
0.500 0.500 0.500
0.000 0.000 0.000
0.750 0.750 0.750
0.250 0.250 0.250
```

Calculated values
* crystal system: cubic
* uncorrected formation energy: -0.2849 eV/atom
* SG: Fm-3m, No. 225
* total moment: 0.000 μB/cell

[2]
Entry from the Alexandria database: a relaxed Nd4SmCd5 crystal (PBE-GGA).

The structure in POSCAR format:
```
Nd4SmCd5
1.0
-3.277 -2.016 0.061
0.949 -1.645 -3.346
8.902 -14.182 9.497
Cd Sm Nd
5 1 4
direct
0.500 0.500 0.701
0.500 0.500 0.500
0.500 0.500 0.097
0.500 0.500 0.299
0.500 0.500 0.903
0.000 0.000 0.000
0.000 0.000 0.198
0.000 0.000 0.802
0.000 0.000 0.601
0.000 0.000 0.399
```

Calculated values
* crystal system: tetragonal
* SG: P4/mmm, No. 123
* total moment: 2.008 μB/cell
* energy of formation: -0.317 eV per atom

[3]
Entry from the Alexandria database: a relaxed Na12In5Hg2 crystal (PBE-GGA).

The structure in POSCAR format:
```
Na12In5Hg2
1.0
-3.693 -0.693 3.654
4.287 5.321 9.090
-2.689 10.621 3.045
Hg Na In
2 12 5
direct
0.000 0.231 0.769
0.000 0.769 0.231
0.101 0.898 0.898
0.908 0.589 0.589
0.800 0.943 0.457
0.592 0.642 0.174
0.092 0.411 0.411
0.200 0.057 0.543
0.408 0.826 0.358
0.800 0.457 0.943
0.592 0.174 0.642
0.408 0.358 0.826
0.899 0.102 0.102
0.200 0.543 0.057
0.301 0.199 0.199
0.500 0.000 0.000
0.699 0.801 0.801
0.290 0.708 0.708
0.710 0.292 0.292
```

Calculated values
* crystal system: monoclinic
* SG: C2/m, No. 12
* total moment: 0.000 μB/cell
* energy of formation: -0.107 eV per atom